# Zn2GaSbO6 | Alexandria via LeMat-Bulk | PBE | optimized geometry
# - formation energy from raw total energies (eV per atom) = -1.4980
data_Zn2GaSbO6
_chemical_formula_sum 'Zn6 Ga3 Sb3 O18'
_symmetry_space_group_name_H-M 'R 3'
_symmetry_Int_Tables_number 146
_symmetry_space_group_name_Hall 'R 3'
_cell_length_a 5.2296
_cell_length_b 5.2296
_cell_length_c 13.8070
_cell_angle_alpha 90.00
_cell_angle_beta 90.00
_cell_angle_gamma 120.00
loop_
_atom_site_label
_atom_site_type_symbol
_atom_site_fract_x
_atom_site_fract_y
_atom_site_fract_z
Zn1 Zn 0.0000 0.0000 0.0000
Zn2 Zn 0.0000 0.0000 0.4979
Ga1 Ga 0.0000 0.0000 0.2204
Sb1 Sb 0.0000 0.0000 0.7161
O1 O 0.0445 0.3512 0.7886
O2 O 0.0441 0.6915 0.2885

=====

# ZrGaSbO6 | Alexandria via LeMat-Bulk | PBE | optimized geometry
# - formation energy from raw total energies (eV per atom) = -2.1339
data_ZrGaSbO6
_chemical_formula_sum 'Zr2 Ga2 Sb2 O12'
_symmetry_space_group_name_H-M 'P 42 n m'
_symmetry_Int_Tables_number 102
_cell_length_a 4.773
_cell_length_b 4.773
_cell_length_c 9.455
_cell_angle_alpha 90.00
_cell_angle_beta 90.00
_cell_angle_gamma 90.00
loop_
_symmetry_equiv_pos_as_xyz
'x,y,z'
'-y+1/2,x+1/2,z+1/2'
'-x,-y,z'
'y+1/2,-x+1/2,z+1/2'
'-x+1/2,y+1/2,z+1/2'
'y,x,z'
'x+1/2,-y+1/2,z+1/2'
'-y,-x,z'
loop_
_atom_site_label
_atom_site_type_symbol
_atom_site_fract_x
_atom_site_fract_y
_atom_site_fract_z
Zr1 Zr 0.000 0.000 0.000
Ga1 Ga 0.000 0.000 0.668
Sb1 Sb 0.000 0.000 0.336
O1 O 0.186 0.186 0.501
O2 O 0.198 0.198 0.176
O3 O 0.200 0.200 0.830

=====

# Sc12Ga3O5 | Alexandria via LeMat-Bulk | PBE | optimized geometry
# - formation energy from raw total energies (eV per atom) = -1.6145
data_Sc12Ga3O5
_chemical_formula_sum 'Sc96 Ga24 O40'
_symmetry_space_group_name_H-M 'I a -3 d'
_symmetry_Int_Tables_number 230
_symmetry_space_group_name_Hall '-I 4bd 2c 3'
_cell_length_a 14.202
_cell_length_b 14.202
_cell_length_c 14.202
_cell_angle_alpha 90.00
_cell_angle_beta 90.00
_cell_angle_gamma 90.00
loop_
_atom_site_label
_atom_site_type_symbol
_atom_site_fract_x
_atom_site_fract_y
_atom_site_fract_z
Sc1 Sc 0.037 0.053 0.649
Ga1 Ga 0.000 0.250 0.125
O1 O 0.000 0.000 0.000
O2 O 0.000 0.250 0.375

=====

# ScGa3O6 | Alexandria via LeMat-Bulk | PBE | optimized geometry
# - formation energy from raw total energies (eV per atom) = -2.1679
data_ScGa3O6
_chemical_formula_sum 'Sc2 Ga6 O12'
_symmetry_space_group_name_H-M 'P 1 21/m 1'
_symmetry_Int_Tables_number 11
_cell_length_a 8.380
_cell_length_b 3.005
_cell_length_c 8.586
_cell_angle_alpha 90.00
_cell_angle_beta 111.11
_cell_angle_gamma 90.00
loop_
_symmetry_equiv_pos_as_xyz
'x,y,z'
'-x,-y,-z'
'-x,y+1/2,-z'
'x,-y+1/2,z'
loop_
_atom_site_label
_atom_site_type_symbol
_atom_site_fract_x
_atom_site_fract_y
_atom_site_fract_z
Sc1 Sc 0.196 0.250 0.057
Ga1 Ga 0.003 0.250 0.691
Ga2 Ga 0.331 0.250 0.442
Ga3 Ga 0.406 0.750 0.829
O1 O 0.048 0.750 0.899
O2 O 0.100 0.250 0.445
O3 O 0.233 0.750 0.267
O4 O 0.249 0.250 0.790
O5 O 0.412 0.750 0.074
O6 O 0.436 0.750 0.601

=====

- Which value of formation energy from raw total energies does entry 4 give?
  -2.1679 eV per atom